[1]
VASP calculation (PBE) on a relaxed structure of HfAlPO.

Cell and atoms, written as extended XYZ:
```
8
Lattice="3.460 0.000 0.000 0.000 5.347 0.000 0.000 0.000 6.349" Properties=species:S:1:pos:R:3 pbc="T T T"
Hf 1.730 3.182 3.804
Hf 1.730 2.165 0.629
Al 0.000 0.541 2.862
Al 0.000 4.806 6.036
P 0.000 3.665 1.884
P 0.000 1.681 5.058
O 1.730 1.192 2.587
O 1.730 4.154 5.761
```

Summary:
space-group type	Pmc2_1 (26)
magnetic moment	0.00	μB/cell
final energy	-0.549	Ry per atom
distance to the lowest polymorph of the same formula	0.00	eV per formula unit

[2]
VASP calculation (PBE) on a relaxed structure of PrGd2NiSn3Ir2.

Cell and atoms, written as extended XYZ:
```
9
Lattice="3.990 0.000 0.000 0.000 6.518 3.746 0.000 -6.518 3.746" Properties=species:S:1:pos:R:3 pbc="T T T"
Ni 0.000 0.000 7.470
Ir 1.995 -2.211 3.753
Ir 1.995 2.211 3.753
Sn 1.995 0.000 5.632
Sn 1.995 -4.880 4.674
Sn 1.995 4.880 4.674
Gd 0.000 3.847 2.214
Gd 0.000 -3.847 2.214
Pr 0.000 0.000 3.080
```

Summary:
space-group type	Amm2 (38)
magnetic moment	0.00	μB/cell
final energy	-0.459	Ry per atom

[3]
VASP calculation (PBE) on a relaxed structure of SmNpCu.

Cell and atoms, written as extended XYZ:
```
3
Lattice="2.881 -3.005 2.375 -1.221 -4.610 0.485 2.420 -3.384 -2.381" Properties=species:S:1:pos:R:3 pbc="T T T"
Cu 0.000 0.000 0.000
Sm 3.061 -8.249 0.360
Np 1.020 -2.750 0.120
```

Summary:
space-group type	F-43m (216)
magnetic moment	5.39	μB/cell
formation enthalpy at 0 K	567	meV/atom
final energy	-0.478	Ry per atom
distance to the lowest polymorph of the same formula	0.00	eV per formula unit

[4]
VASP calculation (PBE) on a relaxed structure of Nd3Cd4Hg2.

Cell and atoms, written as extended XYZ:
```
9
Lattice="8.035 0.000 0.000 -4.017 6.958 0.000 0.000 0.000 4.204" Properties=species:S:1:pos:R:3 pbc="T T T"
Nd 2.368 4.101 2.102
Nd 3.299 0.000 2.102
Nd -1.650 2.857 2.102
Hg 4.017 2.319 0.000
Hg 0.000 4.639 0.000
Cd 0.000 0.000 2.102
Cd -2.989 5.176 0.000
Cd 1.029 1.782 0.000
Cd 5.977 0.000 0.000
```

Summary:
space-group type	P-62m (189)
magnetic moment	0.03	μB/cell
formation enthalpy at 0 K	-407	meV/atom
final energy	-0.181	Ry per atom

[5]
VASP calculation (PBE) on a relaxed structure of RbHfCo.

Cell and atoms, written as extended XYZ:
```
3
Lattice="-3.803 -2.545 1.026 -2.424 0.881 3.918 -4.261 1.941 -0.266" Properties=species:S:1:pos:R:3 pbc="T T T"
Hf -7.866 0.207 3.508
Rb 0.000 0.000 0.000
Co -2.623 0.069 1.170
```

Summary:
space-group type	F-43m (216)
magnetic moment	0.57	μB/cell
final energy	-0.264	Ry per atom
distance to the lowest polymorph of the same formula	3.10	eV per formula unit

[6]
VASP calculation (PBE) on a relaxed structure of FeCoPbW.

Cell and atoms, written as extended XYZ:
```
4
Lattice="0.000 3.100 3.100 3.100 0.000 3.100 3.100 3.100 0.000" Properties=species:S:1:pos:R:3 pbc="T T T"
Pb 0.000 0.000 0.000
Co 4.650 4.650 4.650
Fe 1.550 1.550 1.550
W 3.100 3.100 3.100
```

Summary:
space-group type	F-43m (216)
magnetic moment	2.82	μB/cell
final energy	-0.545	Ry per atom
distance to the lowest polymorph of the same formula	0.00	eV per formula unit

[7]
VASP calculation (PBE) on a relaxed structure of Pm2Zn3Ga5.

Cell and atoms, written as extended XYZ:
```
20
Lattice="7.092 -4.347 -2.031 -6.749 -0.683 5.225 -3.421 -1.576 -7.690" Properties=species:S:1:pos:R:3 pbc="T T T"
Ga 5.217 -3.953 -1.210
Ga -4.238 -1.377 -4.501
Ga -8.295 -2.652 -3.285
Ga 1.160 -5.229 0.005
Ga -4.999 -2.387 -0.434
Ga -2.256 -3.060 -4.577
Ga -0.822 -3.545 0.081
Ga 1.921 -4.219 -4.062
Ga -4.067 -3.892 -2.904
Ga 0.989 -2.714 -1.592
Pm -0.973 -5.292 -2.653
Pm -2.855 -2.341 2.197
Pm -0.223 -4.265 -6.692
Pm -2.105 -1.314 -1.843
Zn 2.895 -4.425 -1.704
Zn 0.018 -2.511 -3.957
Zn -5.973 -2.180 -2.792
Zn -3.096 -4.094 -0.539
Zn 0.086 -1.257 0.799
Zn 0.257 -3.772 2.396
```

Summary:
space-group type	Ibam (72)
magnetic moment	0.00	μB/cell
final energy	-0.244	Ry per atom

[8]
VASP calculation (PBE) on a relaxed structure of PrGd2P3.

Cell and atoms, written as extended XYZ:
```
6
Lattice="4.102 0.000 0.000 -2.051 3.552 0.000 0.000 0.000 10.039" Properties=species:S:1:pos:R:3 pbc="T T T"
Gd 2.051 1.184 1.637
Gd 0.000 2.368 8.402
P 0.000 2.368 3.268
P 2.051 1.184 6.771
P 0.000 0.000 0.000
Pr 0.000 0.000 5.019
```

Summary:
space-group type	P-3m1 (164)
magnetic moment	0.00	μB/cell
final energy	-0.487	Ry per atom

[9]
VASP calculation (PBE) on a relaxed structure of CsPtNO.

Cell and atoms, written as extended XYZ:
```
8
Lattice="3.355 -3.355 0.000 3.355 3.355 0.000 0.000 0.000 7.288" Properties=species:S:1:pos:R:3 pbc="T T T"
O 3.355 -1.678 0.000
O 3.355 1.678 0.000
Pt 1.678 0.000 7.022
Pt 5.033 0.000 0.266
N 5.033 0.000 2.088
N 1.678 0.000 5.200
Cs 3.355 1.678 3.644
Cs 3.355 -1.678 3.644
```

Summary:
space-group type	P4/nmm (129)
magnetic moment	2.94	μB/cell
final energy	-0.316	Ry per atom
distance to the lowest polymorph of the same formula	3.49	eV per formula unit

[10]
VASP calculation (PBE) on a relaxed structure of YHfNp.

Cell and atoms, written as extended XYZ:
```
3
Lattice="0.000 3.505 3.505 3.505 0.000 3.505 3.505 3.505 0.000" Properties=species:S:1:pos:R:3 pbc="T T T"
Hf 0.000 0.000 0.000
Np 1.753 1.753 1.753
Y 5.258 5.258 5.258
```

Summary:
space-group type	F-43m (216)
magnetic moment	4.91	μB/cell
formation enthalpy at 0 K	1139	meV/atom
final energy	-0.631	Ry per atom
distance to the lowest polymorph of the same formula	0.00	eV per formula unit

[11]
VASP calculation (PBE) on a relaxed structure of Zr5Ni.

Cell and atoms, written as extended XYZ:
```
6
Lattice="2.663 4.612 0.000 -2.663 4.612 0.000 0.000 0.000 5.101" Properties=species:S:1:pos:R:3 pbc="T T T"
Zr 0.000 3.075 0.000
Zr -0.983 4.612 2.550
Zr 0.000 6.149 0.000
Zr -0.840 1.454 2.550
Zr 1.823 3.158 2.550
Ni 0.000 0.000 0.000
```

Summary:
space-group type	P-62m (189)
magnetic moment	0.02	μB/cell
formation enthalpy at 0 K	81	meV/atom
final energy	-0.586	Ry per atom

[12]
VASP calculation (PBE) on a relaxed structure of ErSbPbI2.

Cell and atoms, written as extended XYZ:
```
5
Lattice="4.431 0.000 0.000 -2.216 3.837 0.000 0.000 0.000 11.478" Properties=species:S:1:pos:R:3 pbc="T T T"
I 0.000 2.558 7.810
I 0.000 0.000 3.831
Pb 0.000 2.558 1.801
Sb 2.216 1.279 11.300
Er 0.000 0.000 9.692
```

Summary:
space-group type	P3m1 (156)
magnetic moment	0.00	μB/cell
final energy	-0.287	Ry per atom

[13]
VASP calculation (PBE) on a relaxed structure of BaScCuSe2S.

Cell and atoms, written as extended XYZ:
```
12
Lattice="0.283 7.194 -0.392 -3.062 -5.825 2.948 6.830 0.132 7.354" Properties=species:S:1:pos:R:3 pbc="T T T"
Cu -1.263 -5.437 4.696
Cu 5.314 6.940 5.215
S 3.936 1.575 6.591
S 0.115 -0.072 3.320
Se 6.316 5.615 7.014
Se 3.618 5.563 4.109
Se -2.265 -4.113 2.897
Se 0.432 -4.060 5.802
Ba 2.858 -2.621 7.668
Ba 1.193 4.123 2.243
Sc 2.025 0.751 4.955
Sc -1.390 0.685 1.278
```

Summary:
space-group type	Cmcm (63)
magnetic moment	0.01	μB/cell
final energy	-0.396	Ry per atom

[14]
VASP calculation (PBE) on a relaxed structure of ReNi.

Cell and atoms, written as extended XYZ:
```
24
Lattice="4.666 0.000 0.000 -2.333 4.041 0.000 0.000 0.000 16.147" Properties=species:S:1:pos:R:3 pbc="T T T"
Ni -1.195 3.384 4.037
Ni -1.166 2.020 0.000
Ni 1.138 0.657 12.111
Ni 3.528 0.657 12.111
Ni 2.333 0.000 0.000
Ni 2.333 2.727 12.111
Ni -1.166 2.020 8.074
Ni 1.195 3.384 4.037
Ni 1.166 2.020 8.074
Ni 1.166 2.020 0.000
Ni 0.000 1.314 4.037
Ni 2.333 0.000 8.074
Re 0.000 0.000 14.726
Re 2.333 1.347 5.563
Re 0.000 0.000 9.495
Re 0.000 0.000 6.652
Re 0.000 2.694 10.585
Re 0.000 2.694 2.059
Re 2.333 1.347 14.088
Re 0.000 2.694 6.015
Re 2.333 1.347 10.133
Re 2.333 1.347 2.511
Re 0.000 2.694 13.637
Re 0.000 0.000 1.422
```

Summary:
space-group type	P6_3/mmc (194)
magnetic moment	0.39	μB/cell
formation enthalpy at 0 K	88	meV/atom
final energy	-0.655	Ry per atom

[15]
VASP calculation (PBE) on a relaxed structure of K2SnHgTe3Se.

Cell and atoms, written as extended XYZ:
```
8
Lattice="-6.527 1.868 -2.155 1.093 -0.566 7.016 4.327 5.258 -2.200" Properties=species:S:1:pos:R:3 pbc="T T T"
Se -3.433 2.927 3.629
K -3.817 4.200 0.271
K -0.027 2.990 4.832
Te -0.249 4.131 1.303
Te -0.067 -0.066 2.908
Te -2.775 0.799 -0.351
Sn -2.738 0.715 2.464
Hg -5.410 1.329 4.848
```

Summary:
space-group type	Cm (8)
final energy	-0.222	Ry per atom

[16]
VASP calculation (PBE) on a relaxed structure of LuCoNiPb.

Cell and atoms, written as extended XYZ:
```
4
Lattice="0.000 3.235 3.235 3.235 0.000 3.235 3.235 3.235 0.000" Properties=species:S:1:pos:R:3 pbc="T T T"
Co 4.852 4.852 4.852
Pb 0.000 0.000 0.000
Lu 3.235 3.235 3.235
Ni 1.617 1.617 1.617
```

Summary:
space-group type	F-43m (216)
magnetic moment	0.90	μB/cell
final energy	-0.394	Ry per atom
distance to the lowest polymorph of the same formula	0.00	eV per formula unit

[17]
VASP calculation (PBE) on a relaxed structure of DyY2Er2Tm2Ni2Te2.

Cell and atoms, written as extended XYZ:
```
11
Lattice="-1.919 7.758 4.785 1.919 -7.758 4.785 1.919 7.758 -4.785" Properties=species:S:1:pos:R:3 pbc="T T T"
Ni 0.000 3.653 3.870
Ni 1.919 4.105 -0.915
Y 1.919 5.718 3.781
Y 1.919 -5.718 3.781
Er 0.000 4.877 0.924
Er 0.000 10.638 0.924
Dy 0.000 0.000 4.555
Tm 1.919 -2.284 2.373
Tm 1.919 2.284 2.373
Te 0.000 7.758 2.291
Te 0.000 0.000 1.367
```

Summary:
space-group type	Imm2 (44)
magnetic moment	0.01	μB/cell
final energy	-0.404	Ry per atom
distance to the lowest polymorph of the same formula	0.06	eV per formula unit